DFT (PBE-GGA) results for a relaxed MnFeAs2 crystal.

abc: 4.994 4.994 4.994
angles: 141.69 130.34 64.41
Atoms (fractional coordinates):
As1 0.010 0.010 0.000
As2 0.733 0.233 0.500
Fe1 0.507 0.507 0.000
Mn1 0.250 0.750 0.500

Computed properties:
Magnetization, μB/f.u.: 5.1
Formation enthalpy at 0 K, eV/atom: 0.14
DOS(E_F), states/eV/atom: 0.719
Density, Mg/m³: 7.5


DFT (PBE-GGA) results for a relaxed MnFeAs2 crystal.

abc: 4.362 4.362 4.362
angles: 60.00 60.00 60.00
Atoms (fractional coordinates):
As1 0.000 0.000 0.000
As2 0.250 0.250 0.250
Fe1 0.500 0.500 0.500
Mn1 0.750 0.750 0.750

Computed properties:
Magnetization, μB/f.u.: 5.0
Formation enthalpy at 0 K, eV/atom: 0.35
DOS(E_F), states/eV/atom: 0.175
Density, Mg/m³: 7.4


DFT (PBE-GGA) results for a relaxed Mn2FeAs2 crystal.

abc: 6.421 6.421 3.394
angles: 90.00 90.00 90.00
Atoms (fractional coordinates):
As1 0.346 0.846 0.000
As2 0.846 0.654 0.000
As3 0.654 0.154 0.000
As4 0.154 0.346 0.000
Mn1 0.148 0.648 0.500
Mn2 0.648 0.852 0.500
Mn3 0.852 0.352 0.500
Mn4 0.352 0.148 0.500
Fe1 0.000 0.000 0.000
Fe2 0.500 0.500 0.000

Computed properties:
Magnetization, μB/f.u.: 7.3
Formation enthalpy at 0 K, eV/atom: 0.02
DOS(E_F), states/eV/atom: 0.816
Density, Mg/m³: 7.5


DFT (PBE-GGA) results for a relaxed MnFe2AsN crystal.

abc: 3.848 3.848 3.890
angles: 90.00 90.00 90.00
Atoms (fractional coordinates):
As1 0.500 0.500 0.500
Mn1 0.000 0.000 0.500
Fe1 0.000 0.500 0.000
Fe2 0.500 0.000 0.000
N1 0.000 0.000 0.000

Computed properties:
Energy relative to the elements, uncorrected, eV/atom: -0.0554
Magnetization, μB/f.u.: 6.6
DOS(E_F), states/eV/atom: 0.598
Density, Mg/m³: 7.4


DFT (PBE-GGA) results for a relaxed Mn2FeAsN crystal.

abc: 3.914 3.914 3.832
angles: 90.00 90.00 90.00
Atoms (fractional coordinates):
As1 0.500 0.500 0.500
Mn1 0.000 0.500 0.000
Mn2 0.500 0.000 0.000
Fe1 0.000 0.000 0.500
N1 0.000 0.000 0.000

Computed properties:
Energy relative to the elements, uncorrected, eV/atom: -0.0822
Magnetization, μB/f.u.: 7.1
DOS(E_F), states/eV/atom: 0.743
Density, Mg/m³: 7.2


DFT (PBE-GGA) results for a relaxed Mn2FeNiAs crystal.

abc: 4.566 4.248 4.566
angles: 90.00 90.00 90.00
Atoms (fractional coordinates):
Ni1 0.000 0.000 0.000
As1 0.000 0.500 0.000
Mn1 0.000 0.000 0.500
Mn2 0.500 0.000 0.000
Fe1 0.500 0.500 0.500

Computed properties:
Magnetization, μB/f.u.: 11.4
Formation enthalpy at 0 K, eV/atom: 0.80
DOS(E_F), states/eV/atom: 1.041
Density, Mg/m³: 5.6


> Look up the magnetization of the fourth one.

6.6 μB/f.u.